# 1
This record from the Open Quantum Materials Database describes crystalline LiNbIr2 at its relaxed geometry. The functional is PBE-GGA.

Geometry as CIF:
```
data_LiNbIr2
_cell_length_a 4.3780
_cell_length_b 4.3780
_cell_length_c 4.3780
_cell_angle_alpha 60.00
_cell_angle_beta 60.00
_cell_angle_gamma 60.00
_space_group_name_H-M_alt 'P 1'
_space_group_IT_number 1
loop_
_space_group_symop_operation_xyz
'x,y,z'
loop_
_atom_site_label
_atom_site_fract_x
_atom_site_fract_y
_atom_site_fract_z
Ir1 0.7500 0.7500 0.7500
Ir2 0.0000 0.0000 0.0000
Nb1 0.2500 0.2500 0.2500
Li1 0.5000 0.5000 0.5000
```

=====

# 2
This record from the Open Quantum Materials Database describes crystalline LiNbIr2 at its relaxed geometry. The functional is PBE-GGA.

Geometry as CIF:
```
data_LiNbIr2
_cell_length_a 3.1484
_cell_length_b 3.1484
_cell_length_c 5.8555
_cell_angle_alpha 90.00
_cell_angle_beta 90.00
_cell_angle_gamma 90.00
_space_group_name_H-M_alt 'P 1'
_space_group_IT_number 1
loop_
_space_group_symop_operation_xyz
'x,y,z'
loop_
_atom_site_label
_atom_site_fract_x
_atom_site_fract_y
_atom_site_fract_z
Ir1 0.5000 0.5000 0.7364
Ir2 0.5000 0.5000 0.2636
Nb1 0.0000 0.0000 0.0000
Li1 0.0000 0.0000 0.5000
```

=====

# 3
This record from the Open Quantum Materials Database describes crystalline LiNbIr2 at its relaxed geometry. The functional is PBE-GGA.

Geometry as CIF:
```
data_LiNbIr2
_cell_length_a 5.8843
_cell_length_b 5.8842
_cell_length_c 6.7560
_cell_angle_alpha 90.00
_cell_angle_beta 90.00
_cell_angle_gamma 90.00
_space_group_name_H-M_alt 'P 1'
_space_group_IT_number 1
loop_
_space_group_symop_operation_xyz
'x,y,z'
loop_
_atom_site_label
_atom_site_fract_x
_atom_site_fract_y
_atom_site_fract_z
Li1 0.2500 0.7500 0.5000
Li2 0.2500 0.7500 0.0000
Li3 0.7500 0.2500 0.0000
Li4 0.7500 0.2500 0.5000
Ir1 0.0000 0.5000 0.7500
Ir2 0.5000 0.0000 0.7500
Ir3 0.5000 0.5000 0.7500
Ir4 0.0000 0.0000 0.2500
Ir5 0.5000 0.0000 0.2500
Ir6 0.5000 0.5000 0.2500
Ir7 0.0000 0.5000 0.2500
Ir8 0.0000 0.0000 0.7500
Nb1 0.2500 0.2500 0.5000
Nb2 0.7500 0.7500 0.5000
Nb3 0.2500 0.2500 0.0000
Nb4 0.7500 0.7500 0.0000
```

=====

| no. | raw total energy (eV per atom) | calculated volume (Å³ per cell) |
| --- | --- | --- |
| 1 | -7.48 | 59.33 |
| 2 | -7.85 | 58.04 |
| 3 | -7.80 | 233.92 |